Entry 1:
GGA-PBE Sm2Si2O7, optimized geometry; formation energy without anion corrections = -3.193 eV per atom; symmetry = No. 2; size of the total moment = 0.0000 μB per atom
1.0
5.472 0.000 0.000
-0.393 8.604 0.000
-0.534 -0.145 13.065
Sm Si O
8 8 28
Direct
0.228 0.327 0.265 Sm
0.235 0.797 0.241 Sm
0.250 0.902 0.907 Sm
0.257 0.395 0.585 Sm
0.743 0.605 0.415 Sm
0.750 0.098 0.093 Sm
0.765 0.203 0.759 Sm
0.772 0.673 0.735 Sm
0.198 0.255 0.981 Si
0.215 0.004 0.679 Si
0.295 0.501 0.819 Si
0.301 0.746 0.528 Si
0.699 0.254 0.472 Si
0.705 0.499 0.181 Si
0.785 0.996 0.321 Si
0.802 0.745 0.019 Si
0.006 0.091 0.263 O
0.019 0.853 0.083 O
0.043 0.471 0.745 O
0.045 0.647 0.549 O
0.098 0.273 0.096 O
0.105 0.174 0.657 O
0.246 0.428 0.932 O
0.298 0.922 0.574 O
0.377 0.746 0.409 O
0.390 0.683 0.822 O
0.439 0.151 0.976 O
0.449 0.017 0.762 O
0.480 0.360 0.418 O
0.485 0.584 0.239 O
0.515 0.416 0.761 O
0.520 0.640 0.582 O
0.551 0.983 0.238 O
0.561 0.849 0.024 O
0.610 0.317 0.178 O
0.623 0.254 0.591 O
0.702 0.078 0.426 O
0.754 0.572 0.068 O
0.895 0.826 0.343 O
0.902 0.727 0.904 O
0.955 0.353 0.451 O
0.957 0.529 0.255 O
0.981 0.147 0.917 O
0.994 0.909 0.737 O


Entry 2:
GGA-PBE SmSiO3, optimized geometry; formation energy without anion corrections = -2.747 eV per atom; symmetry = No. 15; size of the total moment = 0.0688 μB per atom
1.0
5.829 -3.317 0.000
5.829 3.317 0.000
-4.029 0.000 10.621
Sm Si O
6 6 18
Direct
0.000 0.500 0.500 Sm
0.149 0.707 0.999 Sm
0.293 0.851 0.501 Sm
0.500 0.000 0.000 Sm
0.707 0.149 0.499 Sm
0.851 0.293 0.001 Sm
0.084 0.181 0.760 Si
0.181 0.084 0.260 Si
0.347 0.653 0.750 Si
0.653 0.347 0.250 Si
0.819 0.916 0.740 Si
0.916 0.819 0.240 Si
0.040 0.267 0.632 O
0.085 0.676 0.749 O
0.132 0.331 0.899 O
0.161 0.839 0.250 O
0.267 0.040 0.132 O
0.324 0.915 0.751 O
0.331 0.132 0.399 O
0.411 0.496 0.613 O
0.496 0.411 0.113 O
0.504 0.589 0.887 O
0.589 0.504 0.387 O
0.669 0.868 0.601 O
0.676 0.085 0.249 O
0.733 0.960 0.868 O
0.839 0.161 0.750 O
0.868 0.669 0.101 O
0.915 0.324 0.251 O
0.960 0.733 0.368 O


Entry 3:
GGA-PBE Sm2Si2O7, optimized geometry; formation energy without anion corrections = -3.171 eV per atom; symmetry = No. 14; size of the total moment = 0.0000 μB per atom
1.0
6.661 0.000 0.000
0.000 6.769 0.000
-4.023 0.000 12.139
Sm Si O
8 8 28
Direct
0.028 0.109 0.362 Sm
0.028 0.391 0.862 Sm
0.350 0.175 0.153 Sm
0.350 0.325 0.653 Sm
0.650 0.675 0.347 Sm
0.650 0.825 0.847 Sm
0.972 0.609 0.138 Sm
0.972 0.891 0.638 Sm
0.209 0.580 0.390 Si
0.209 0.920 0.890 Si
0.396 0.672 0.085 Si
0.396 0.828 0.585 Si
0.604 0.172 0.415 Si
0.604 0.328 0.915 Si
0.791 0.080 0.110 Si
0.791 0.420 0.610 Si
0.001 0.722 0.333 O
0.001 0.778 0.833 O
0.163 0.105 0.959 O
0.163 0.395 0.459 O
0.224 0.013 0.550 O
0.224 0.487 0.050 O
0.290 0.671 0.650 O
0.290 0.829 0.150 O
0.297 0.514 0.289 O
0.297 0.986 0.789 O
0.374 0.091 0.340 O
0.374 0.409 0.840 O
0.405 0.720 0.469 O
0.405 0.780 0.969 O
0.595 0.220 0.031 O
0.595 0.280 0.531 O
0.626 0.591 0.160 O
0.626 0.909 0.660 O
0.703 0.014 0.211 O
0.703 0.486 0.711 O
0.710 0.171 0.850 O
0.710 0.329 0.350 O
0.776 0.513 0.950 O
0.776 0.987 0.450 O
0.837 0.605 0.541 O
0.837 0.895 0.041 O
0.999 0.222 0.167 O
0.999 0.278 0.667 O


Entry 4:
GGA-PBE Sm2Si2O7, optimized geometry; formation energy without anion corrections = -3.178 eV per atom; symmetry = No. 76; size of the total moment = 0.0000 μB per atom
1.0
6.761 0.000 0.000
0.000 6.761 0.000
0.000 0.000 24.642
Sm Si O
16 16 56
Direct
0.021 0.662 0.000 Sm
0.150 0.588 0.355 Sm
0.222 0.289 0.104 Sm
0.247 0.358 0.741 Sm
0.289 0.778 0.854 Sm
0.338 0.021 0.250 Sm
0.358 0.753 0.491 Sm
0.412 0.150 0.605 Sm
0.588 0.850 0.105 Sm
0.642 0.247 0.991 Sm
0.662 0.979 0.750 Sm
0.711 0.222 0.354 Sm
0.753 0.642 0.241 Sm
0.778 0.711 0.604 Sm
0.850 0.412 0.855 Sm
0.979 0.338 0.500 Sm
0.110 0.182 0.966 Si
0.132 0.772 0.120 Si
0.182 0.890 0.716 Si
0.227 0.522 0.223 Si
0.228 0.132 0.370 Si
0.246 0.638 0.617 Si
0.362 0.246 0.867 Si
0.478 0.227 0.473 Si
0.522 0.773 0.973 Si
0.638 0.754 0.367 Si
0.754 0.362 0.117 Si
0.772 0.868 0.870 Si
0.773 0.478 0.723 Si
0.818 0.110 0.216 Si
0.868 0.228 0.620 Si
0.890 0.818 0.466 Si
0.006 0.030 0.738 O
0.030 0.994 0.488 O
0.039 0.269 0.389 O
0.047 0.642 0.447 O
0.058 0.509 0.269 O
0.071 0.172 0.589 O
0.090 0.606 0.566 O
0.091 0.620 0.172 O
0.109 0.773 0.659 O
0.172 0.929 0.339 O
0.227 0.109 0.909 O
0.229 0.428 0.841 O
0.269 0.961 0.139 O
0.272 0.279 0.008 O
0.273 0.639 0.079 O
0.279 0.728 0.758 O
0.305 0.313 0.199 O
0.313 0.695 0.949 O
0.330 0.399 0.494 O
0.330 0.445 0.649 O
0.358 0.047 0.697 O
0.361 0.273 0.329 O
0.380 0.091 0.422 O
0.394 0.090 0.816 O
0.399 0.670 0.244 O
0.428 0.771 0.591 O
0.445 0.670 0.399 O
0.491 0.058 0.519 O
0.509 0.942 0.019 O
0.555 0.330 0.899 O
0.572 0.229 0.091 O
0.601 0.330 0.744 O
0.606 0.910 0.316 O
0.620 0.909 0.922 O
0.639 0.727 0.829 O
0.642 0.953 0.197 O
0.670 0.555 0.149 O
0.670 0.601 0.994 O
0.687 0.305 0.449 O
0.695 0.687 0.699 O
0.721 0.272 0.258 O
0.727 0.361 0.579 O
0.728 0.721 0.508 O
0.731 0.039 0.639 O
0.771 0.572 0.341 O
0.773 0.891 0.409 O
0.828 0.071 0.839 O
0.891 0.227 0.159 O
0.909 0.380 0.672 O
0.910 0.394 0.066 O
0.929 0.828 0.089 O
0.942 0.491 0.769 O
0.953 0.358 0.947 O
0.961 0.731 0.889 O
0.970 0.006 0.988 O
0.994 0.970 0.238 O


Entry 5:
GGA-PBE Sm2SiO5, optimized geometry; formation energy without anion corrections = -3.310 eV per atom; relative energy among the computed polymorphs = 0.0 meV/atom; symmetry = No. 15; size of the total moment = 0.0000 μB per atom
1.0
7.380 -3.476 0.000
7.380 3.476 0.000
-5.710 0.000 9.125
Sm Si O
8 4 20
Direct
0.025 0.264 0.836 Sm
0.210 0.717 0.535 Sm
0.264 0.025 0.336 Sm
0.283 0.790 0.965 Sm
0.717 0.210 0.035 Sm
0.736 0.975 0.664 Sm
0.790 0.283 0.465 Sm
0.975 0.736 0.164 Sm
0.231 0.408 0.693 Si
0.408 0.231 0.193 Si
0.592 0.769 0.807 Si
0.769 0.592 0.307 Si
0.060 0.350 0.673 O
0.075 0.891 0.104 O
0.099 0.662 0.681 O
0.109 0.925 0.396 O
0.234 0.369 0.067 O
0.338 0.901 0.819 O
0.350 0.060 0.173 O
0.369 0.234 0.567 O
0.405 0.410 0.857 O
0.410 0.405 0.357 O
0.590 0.595 0.643 O
0.595 0.590 0.143 O
0.631 0.766 0.433 O
0.650 0.940 0.827 O
0.662 0.099 0.181 O
0.766 0.631 0.933 O
0.891 0.075 0.604 O
0.901 0.338 0.319 O
0.925 0.109 0.896 O
0.940 0.650 0.327 O


Entry 6:
GGA-PBE Sm12Si3O5, optimized geometry; formation energy without anion corrections = -1.588 eV per atom; symmetry = No. 230; size of the total moment = 0.0014 μB per atom
1.0
-7.778 7.778 7.778
7.778 -7.778 7.778
7.778 7.778 -7.778
Sm Si O
48 12 20
Direct
0.019 0.204 0.115 Sm
0.019 0.315 0.904 Sm
0.089 0.704 0.685 Sm
0.089 0.885 0.404 Sm
0.096 0.615 0.411 Sm
0.096 0.981 0.685 Sm
0.115 0.019 0.204 Sm
0.115 0.596 0.911 Sm
0.185 0.204 0.589 Sm
0.185 0.481 0.596 Sm
0.204 0.115 0.019 Sm
0.204 0.589 0.185 Sm
0.296 0.315 0.911 Sm
0.296 0.481 0.385 Sm
0.315 0.904 0.019 Sm
0.315 0.911 0.296 Sm
0.385 0.296 0.481 Sm
0.385 0.589 0.904 Sm
0.404 0.089 0.885 Sm
0.404 0.815 0.519 Sm
0.411 0.096 0.615 Sm
0.411 0.815 0.796 Sm
0.481 0.385 0.296 Sm
0.481 0.596 0.185 Sm
0.519 0.404 0.815 Sm
0.519 0.615 0.704 Sm
0.589 0.185 0.204 Sm
0.589 0.904 0.385 Sm
0.596 0.185 0.481 Sm
0.596 0.911 0.115 Sm
0.615 0.411 0.096 Sm
0.615 0.704 0.519 Sm
0.685 0.089 0.704 Sm
0.685 0.096 0.981 Sm
0.704 0.519 0.615 Sm
0.704 0.685 0.089 Sm
0.796 0.411 0.815 Sm
0.796 0.885 0.981 Sm
0.815 0.519 0.404 Sm
0.815 0.796 0.411 Sm
0.885 0.404 0.089 Sm
0.885 0.981 0.796 Sm
0.904 0.019 0.315 Sm
0.904 0.385 0.589 Sm
0.911 0.115 0.596 Sm
0.911 0.296 0.315 Sm
0.981 0.685 0.096 Sm
0.981 0.796 0.885 Sm
0.125 0.250 0.375 Si
0.125 0.375 0.750 Si
0.250 0.375 0.125 Si
0.250 0.875 0.625 Si
0.375 0.125 0.250 Si
0.375 0.750 0.125 Si
0.625 0.250 0.875 Si
0.625 0.875 0.750 Si
0.750 0.125 0.375 Si
0.750 0.625 0.875 Si
0.875 0.625 0.250 Si
0.875 0.750 0.625 Si
0.000 0.000 0.000 O
0.000 0.000 0.500 O
0.000 0.500 0.000 O
0.000 0.500 0.500 O
0.125 0.750 0.875 O
0.125 0.875 0.250 O
0.250 0.125 0.875 O
0.250 0.625 0.375 O
0.375 0.250 0.625 O
0.375 0.625 0.750 O
0.500 0.000 0.000 O
0.500 0.000 0.500 O
0.500 0.500 0.000 O
0.500 0.500 0.500 O
0.625 0.375 0.250 O
0.625 0.750 0.375 O
0.750 0.375 0.625 O
0.750 0.875 0.125 O
0.875 0.125 0.750 O
0.875 0.250 0.125 O


Q: Which of these has the highest size of the total moment?
A: SmSiO3


Q: Which value of size of the total moment does entry 2 give?
A: 0.0688 μB per atom


Q: Which value of size of the total moment does entry 3 give?
A: 0.0000 μB per atom